1.
Density functional theory data (PBE-GGA) for crystalline BiBPdRh2 at its relaxed geometry.

Properties
The value obtained for the energy of formation from the pure elements is -0.113 eV/atom. For the electronic total energy, the calculation gives -6.2042 eV per atom. As for the volume: 78 Å³/f.u.

```
data_BiBPdRh2
_symmetry_space_group_name_H-M 'P 4/m m m'
_symmetry_Int_Tables_number 123
_symmetry_space_group_name_Hall '-P 4 2'
_cell_length_a 4.2282
_cell_length_b 4.2282
_cell_length_c 4.3680
_cell_angle_alpha 90.00
_cell_angle_beta 90.00
_cell_angle_gamma 90.00
loop_
_atom_site_label
_atom_site_fract_x
_atom_site_fract_y
_atom_site_fract_z
Bi1 0.0000 0.0000 0.0000
B1 0.5000 0.5000 0.5000
Pd1 0.5000 0.5000 0.0000
Rh1 0.0000 0.5000 0.5000
```


2.
Density functional theory data (PBE-GGA) for crystalline Ta2BiBPd at its relaxed geometry.

Properties
The value obtained for the energy of formation from the pure elements is 2.739 eV/atom. For the electronic total energy, the calculation gives -5.1522 eV per atom. As for the volume: 133 Å³/f.u.

```
data_Ta2BiBPd
_symmetry_space_group_name_H-M 'P 4/m m m'
_symmetry_Int_Tables_number 123
_symmetry_space_group_name_Hall '-P 4 2'
_cell_length_a 5.2176
_cell_length_b 5.2176
_cell_length_c 4.8917
_cell_angle_alpha 90.00
_cell_angle_beta 90.00
_cell_angle_gamma 90.00
loop_
_atom_site_label
_atom_site_fract_x
_atom_site_fract_y
_atom_site_fract_z
Ta1 0.0000 0.5000 0.0000
Bi1 0.0000 0.0000 0.0000
B1 0.5000 0.5000 0.5000
Pd1 0.0000 0.0000 0.5000
```


3.
Density functional theory data (PBE-GGA) for crystalline Bi2BTePd at its relaxed geometry.

Properties
For the electronic total energy, the calculation gives -3.3879 eV per atom. As for the uncorrected formation energy: 1167 meV/atom. As for the volume: 153 Å³/f.u.

```
data_Bi2BTePd
_symmetry_space_group_name_H-M 'P 4/m m m'
_symmetry_Int_Tables_number 123
_symmetry_space_group_name_Hall '-P 4 2'
_cell_length_a 5.3666
_cell_length_b 5.3666
_cell_length_c 5.3142
_cell_angle_alpha 90.00
_cell_angle_beta 90.00
_cell_angle_gamma 90.00
loop_
_atom_site_label
_atom_site_fract_x
_atom_site_fract_y
_atom_site_fract_z
Bi1 0.0000 0.5000 0.0000
B1 0.0000 0.0000 0.5000
Te1 0.5000 0.5000 0.5000
Pd1 0.5000 0.5000 0.0000
```


4.
Density functional theory data (PBE-GGA) for crystalline Ti2BiBPd at its relaxed geometry.

Properties
The value obtained for the energy of formation from the pure elements is -0.260 eV/atom. For the electronic total energy, the calculation gives -6.5678 eV per atom. As for the volume: 83 Å³/f.u.

```
data_Ti2BiBPd
_symmetry_space_group_name_H-M 'P 4/m m m'
_symmetry_Int_Tables_number 123
_symmetry_space_group_name_Hall '-P 4 2'
_cell_length_a 4.3826
_cell_length_b 4.3826
_cell_length_c 4.3091
_cell_angle_alpha 90.00
_cell_angle_beta 90.00
_cell_angle_gamma 90.00
loop_
_atom_site_label
_atom_site_fract_x
_atom_site_fract_y
_atom_site_fract_z
Ti1 0.0000 0.5000 0.0000
Bi1 0.0000 0.0000 0.5000
B1 0.5000 0.5000 0.0000
Pd1 0.5000 0.5000 0.5000
```


5.
Density functional theory data (PBE-GGA) for crystalline Y2BiBPd at its relaxed geometry.

Properties
The value obtained for the energy of formation from the pure elements is -0.513 eV/atom. For the electronic total energy, the calculation gives -6.2485 eV per atom. As for the volume: 112 Å³/f.u.

```
data_Y2BiBPd
_symmetry_space_group_name_H-M 'P 4/m m m'
_symmetry_Int_Tables_number 123
_symmetry_space_group_name_Hall '-P 4 2'
_cell_length_a 5.1701
_cell_length_b 5.1701
_cell_length_c 4.1813
_cell_angle_alpha 90.00
_cell_angle_beta 90.00
_cell_angle_gamma 90.00
loop_
_atom_site_label
_atom_site_fract_x
_atom_site_fract_y
_atom_site_fract_z
Y1 0.0000 0.5000 0.0000
Bi1 0.0000 0.0000 0.5000
B1 0.5000 0.5000 0.0000
Pd1 0.5000 0.5000 0.5000
```


6.
Density functional theory data (PBE-GGA) for crystalline ZnBiBPd2 at its relaxed geometry.

Properties
The value obtained for the energy of formation from the pure elements is 1.209 eV/atom. For the electronic total energy, the calculation gives -3.2343 eV per atom. As for the volume: 121 Å³/f.u.

```
data_ZnBiBPd2
_symmetry_space_group_name_H-M 'P 4/m m m'
_symmetry_Int_Tables_number 123
_symmetry_space_group_name_Hall '-P 4 2'
_cell_length_a 5.1611
_cell_length_b 5.1611
_cell_length_c 4.5309
_cell_angle_alpha 90.00
_cell_angle_beta 90.00
_cell_angle_gamma 90.00
loop_
_atom_site_label
_atom_site_fract_x
_atom_site_fract_y
_atom_site_fract_z
Zn1 0.0000 0.0000 0.0000
Bi1 0.5000 0.5000 0.5000
B1 0.5000 0.5000 0.0000
Pd1 0.0000 0.5000 0.5000
```